Computed, not measured: crystalline TeIrSCl2 at its relaxed geometry at the PBEsol level of DFT.

Unit cell a=5.172 b=5.172 c=5.010 alpha=90.00 beta=90.00 gamma=90.00
Space group P4/mmm (No. 123)
One atom of each set of equivalent atoms:
Te (0.000, 0.000, 0.000) [1 per cell]
Ir (0.500, 0.500, 0.500) [1 per cell]
S (0.000, 0.000, 0.500) [1 per cell]
Cl (0.000, 0.500, 0.000) [2 per cell]

Results
D(E_F) ... 7.211 states/eV per cell
Total DFT energy (no corrections) ... -3.0167 eV per atom
Total magnetization ... 3.140 μB/cell

=====

Computed, not measured: crystalline TiIrS2Cl at its relaxed geometry at the PBEsol level of DFT.

Unit cell a=4.612 b=4.612 c=4.591 alpha=90.00 beta=90.00 gamma=90.00
Space group P4/mmm (No. 123)
One atom of each set of equivalent atoms:
Ti (0.000, 0.000, 0.000) [1 per cell]
Ir (0.500, 0.500, 0.500) [1 per cell]
S (0.000, 0.500, 0.500) [2 per cell]
Cl (0.500, 0.500, 0.000) [1 per cell]

Results
D(E_F) ... 6.657 states/eV per cell
Total DFT energy (no corrections) ... -5.4750 eV per atom
Total magnetization ... 1.137 μB/cell

=====

Computed, not measured: crystalline SbIrCl2 at its relaxed geometry at the PBEsol level of DFT.

Unit cell a=6.603 b=6.603 c=6.603 alpha=90.00 beta=90.00 gamma=90.00
Space group Fm-3m (No. 225)
One atom of each set of equivalent atoms:
Sb (0.000, 0.000, 0.000) [4 per cell]
Ir (0.000, 0.000, 0.500) [4 per cell]
Cl (0.250, 0.250, 0.250) [8 per cell]

Results
D(E_F) ... 14.910 states/eV per cell
Total DFT energy (no corrections) ... -3.8129 eV per atom
Offset from the most stable computed form ... 64.1 kJ/mol of atoms
Total magnetization ... 0.022 μB/cell

=====

Computed, not measured: crystalline SbIr2Cl at its relaxed geometry at the PBEsol level of DFT.

Unit cell a=4.315 b=4.315 c=3.513 alpha=90.00 beta=90.00 gamma=90.00
Space group P4/mmm (No. 123)
One atom of each set of equivalent atoms:
Sb (0.000, 0.000, 0.000) [1 per cell]
Ir (0.000, 0.500, 0.500) [2 per cell]
Cl (0.500, 0.500, 0.000) [1 per cell]

Results
D(E_F) ... 4.577 states/eV per cell
Total DFT energy (no corrections) ... -5.7777 eV per atom
Offset from the most stable computed form ... 16.6 kJ/mol of atoms
Total magnetization ... 0.001 μB/cell

=====

Computed, not measured: crystalline SbIr2Cl at its relaxed geometry at the PBEsol level of DFT.

Unit cell a=6.447 b=6.447 c=6.447 alpha=90.00 beta=90.00 gamma=90.00
Space group F-43m (No. 216)
One atom of each set of equivalent atoms:
Sb (0.000, 0.000, 0.000) [4 per cell]
Ir (0.000, 0.000, 0.500) [4 per cell]
Ir (0.250, 0.250, 0.250) [4 per cell]
Cl (0.250, 0.250, 0.750) [4 per cell]

Results
D(E_F) ... 3.191 states/eV per cell
Total DFT energy (no corrections) ... -5.8396 eV per atom
Offset from the most stable computed form ... 10.6 kJ/mol of atoms
Total magnetization ... 0.000 μB/cell

=====

Computed, not measured: crystalline SbIr2Cl at its relaxed geometry at the PBEsol level of DFT.

Unit cell a=4.764 b=4.764 c=13.963 alpha=90.00 beta=90.00 gamma=90.00
Space group I-42d (No. 122)
One atom of each set of equivalent atoms:
Sb (0.000, 0.000, 0.000) [4 per cell]
Ir (0.156, 0.250, 0.625) [8 per cell]
Cl (0.000, 0.000, 0.500) [4 per cell]

Results
D(E_F) ... 8.308 states/eV per cell
Total DFT energy (no corrections) ... -5.9495 eV per atom
Offset from the most stable computed form ... 0.0 kJ/mol of atoms
Total magnetization ... 0.000 μB/cell

=====

Computed, not measured: crystalline Sb2IrCl at its relaxed geometry at the PBEsol level of DFT.

Unit cell a=4.721 b=4.721 c=6.813 alpha=90.00 beta=90.00 gamma=90.00
Space group I4/mmm (No. 139)
One atom of each set of equivalent atoms:
Sb (0.000, 0.500, 0.250) [4 per cell]
Ir (0.000, 0.000, 0.000) [2 per cell]
Cl (0.000, 0.000, 0.500) [2 per cell]

Results
D(E_F) ... 3.351 states/eV per cell
Total DFT energy (no corrections) ... -5.1343 eV per atom
Offset from the most stable computed form ... 20.2 kJ/mol of atoms
Total magnetization ... 0.000 μB/cell

=====

Computed, not measured: crystalline SbIr2Cl at its relaxed geometry at the PBEsol level of DFT.

Unit cell a=5.734 b=9.159 c=2.939 alpha=90.00 beta=120.85 gamma=90.00
Space group C2/m (No. 12)
One atom of each set of equivalent atoms:
Sb (0.000, 0.000, 0.000) [2 per cell]
Ir (0.250, 0.250, 0.000) [4 per cell]
Cl (0.000, 0.500, 0.000) [2 per cell]

Results
D(E_F) ... 5.899 states/eV per cell
Total DFT energy (no corrections) ... -5.8997 eV per atom
Offset from the most stable computed form ... 4.8 kJ/mol of atoms
Total magnetization ... 0.000 μB/cell

=====

Computed, not measured: crystalline SbIrCl2 at its relaxed geometry at the PBEsol level of DFT.

Unit cell a=4.259 b=4.770 c=8.068 alpha=90.00 beta=90.00 gamma=90.00
Space group Cmm2 (No. 35)
One atom of each set of equivalent atoms:
Sb (0.000, 0.000, 0.000) [2 per cell]
Ir (0.000, 0.500, 0.194) [2 per cell]
Cl (0.000, 0.000, 0.395) [2 per cell]
Cl (0.000, 0.500, 0.756) [2 per cell]

Results
D(E_F) ... 4.987 states/eV per cell
Total DFT energy (no corrections) ... -4.4776 eV per atom
Offset from the most stable computed form ... 0.0 kJ/mol of atoms
Total magnetization ... 0.000 μB/cell

=====

Computed, not measured: crystalline Sb3IrCl at its relaxed geometry at the PBEsol level of DFT.

Unit cell a=5.015 b=5.015 c=5.015 alpha=90.00 beta=90.00 gamma=90.00
Space group Pm-3m (No. 221)
One atom of each set of equivalent atoms:
Sb (0.000, 0.000, 0.500) [3 per cell]
Ir (0.500, 0.500, 0.500) [1 per cell]
Cl (0.000, 0.000, 0.000) [1 per cell]

Results
D(E_F) ... 2.877 states/eV per cell
Total DFT energy (no corrections) ... -3.6973 eV per atom
Total magnetization ... 0.000 μB/cell

=====

Computed, not measured: crystalline Sb2IrCl at its relaxed geometry at the PBEsol level of DFT.

Unit cell a=3.122 b=3.621 c=15.899 alpha=90.00 beta=90.00 gamma=90.00
Space group Imm2 (No. 44)
One atom of each set of equivalent atoms:
Sb (0.000, 0.000, 0.000) [2 per cell]
Sb (0.000, 0.500, 0.295) [2 per cell]
Ir (0.000, 0.000, 0.416) [2 per cell]
Cl (0.000, 0.500, 0.647) [2 per cell]

Results
D(E_F) ... 4.446 states/eV per cell
Total DFT energy (no corrections) ... -5.3432 eV per atom
Offset from the most stable computed form ... 0.0 kJ/mol of atoms
Total magnetization ... 0.000 μB/cell

=====

Computed, not measured: crystalline SbTe2IrCl at its relaxed geometry at the PBEsol level of DFT.

Unit cell a=5.215 b=5.215 c=5.139 alpha=90.00 beta=90.00 gamma=90.00
Space group P4/mmm (No. 123)
One atom of each set of equivalent atoms:
Sb (0.000, 0.000, 0.000) [1 per cell]
Te (0.000, 0.500, 0.500) [2 per cell]
Ir (0.000, 0.000, 0.500) [1 per cell]
Cl (0.500, 0.500, 0.000) [1 per cell]

Results
D(E_F) ... 6.250 states/eV per cell
Total DFT energy (no corrections) ... -4.2497 eV per atom
Total magnetization ... 0.001 μB/cell